1.
The following is a DFT calculation (GGA-PBE) of NbZnCoSn after structural relaxation.

Cell: 6.333 6.333 6.333 Å, 90.00 90.00 90.00°
Atoms (fractional coordinates):
Nb: 0.000 0.000 0.000
Nb: 0.000 0.500 0.500
Nb: 0.500 0.000 0.500
Nb: 0.500 0.500 0.000
Zn: 0.250 0.250 0.250
Zn: 0.250 0.750 0.750
Zn: 0.750 0.250 0.750
Zn: 0.750 0.750 0.250
Co: 0.250 0.250 0.750
Co: 0.250 0.750 0.250
Co: 0.750 0.250 0.250
Co: 0.750 0.750 0.750
Sn: 0.000 0.000 0.500
Sn: 0.000 0.500 0.000
Sn: 0.500 0.000 0.000
Sn: 0.500 0.500 0.500

The energy above the most stable polymorph in this dataset is 0.000 eV/atom. The calculation puts the density at 8785 kg/m3.

---

2.
The following is a DFT calculation (GGA-PBE) of NbZnCoSn after structural relaxation.

Cell: 6.382 6.382 6.382 Å, 90.00 90.00 90.00°
Atoms (fractional coordinates):
Nb: 0.000 0.000 0.000
Nb: 0.000 0.500 0.500
Nb: 0.500 0.000 0.500
Nb: 0.500 0.500 0.000
Zn: 0.250 0.250 0.750
Zn: 0.250 0.750 0.250
Zn: 0.750 0.250 0.250
Zn: 0.750 0.750 0.750
Co: 0.000 0.000 0.500
Co: 0.000 0.500 0.000
Co: 0.500 0.000 0.000
Co: 0.500 0.500 0.500
Sn: 0.250 0.250 0.250
Sn: 0.250 0.750 0.750
Sn: 0.750 0.250 0.750
Sn: 0.750 0.750 0.250

The energy above the most stable polymorph in this dataset is 0.068 eV/atom. The calculation puts the density at 8586 kg/m3.

---

3.
The following is a DFT calculation (GGA-PBE) of SrNbCo after structural relaxation.

Cell: 6.511 6.511 6.511 Å, 90.00 90.00 90.00°
Atoms (fractional coordinates):
Sr: 0.000 0.000 0.000
Sr: 0.000 0.500 0.500
Sr: 0.500 0.000 0.500
Sr: 0.500 0.500 0.000
Nb: 0.250 0.250 0.250
Nb: 0.250 0.750 0.750
Nb: 0.750 0.250 0.750
Nb: 0.750 0.750 0.250
Co: 0.250 0.250 0.750
Co: 0.250 0.750 0.250
Co: 0.750 0.250 0.250
Co: 0.750 0.750 0.750

The energy above the most stable polymorph in this dataset is 1.110 eV/atom. The calculation puts the density at 5763 kg/m3.

---

4.
The following is a DFT calculation (GGA-PBE) of Sr2NbCo after structural relaxation.

Cell: 7.201 7.201 7.201 Å, 90.00 90.00 90.00°
Atoms (fractional coordinates):
Sr: 0.000 0.000 0.000
Sr: 0.000 0.500 0.500
Sr: 0.250 0.250 0.250
Sr: 0.250 0.750 0.750
Sr: 0.500 0.000 0.500
Sr: 0.500 0.500 0.000
Sr: 0.750 0.250 0.750
Sr: 0.750 0.750 0.250
Nb: 0.000 0.000 0.500
Nb: 0.000 0.500 0.000
Nb: 0.500 0.000 0.000
Nb: 0.500 0.500 0.500
Co: 0.250 0.250 0.750
Co: 0.250 0.750 0.250
Co: 0.750 0.250 0.250
Co: 0.750 0.750 0.750

The calculation puts the total energy at -4.068 eV/atom. The calculation puts the density at 5819 kg/m3.

---

5.
The following is a DFT calculation (GGA-PBE) of SrNbCo after structural relaxation.

Cell: 6.457 6.457 6.457 Å, 90.00 90.00 90.00°
Atoms (fractional coordinates):
Sr: 0.000 0.000 0.000
Sr: 0.000 0.500 0.500
Sr: 0.500 0.000 0.500
Sr: 0.500 0.500 0.000
Nb: 0.000 0.000 0.500
Nb: 0.000 0.500 0.000
Nb: 0.500 0.000 0.000
Nb: 0.500 0.500 0.500
Co: 0.250 0.250 0.750
Co: 0.250 0.750 0.250
Co: 0.750 0.250 0.250
Co: 0.750 0.750 0.750

The energy above the most stable polymorph in this dataset is 0.000 eV/atom. The calculation puts the density at 5908 kg/m3.

---

6.
The following is a DFT calculation (GGA-PBE) of TaNb2Co after structural relaxation.

Cell: 6.360 6.360 6.360 Å, 90.00 90.00 90.00°
Atoms (fractional coordinates):
Ta: 0.000 0.000 0.000
Ta: 0.000 0.500 0.500
Ta: 0.500 0.000 0.500
Ta: 0.500 0.500 0.000
Nb: 0.000 0.000 0.500
Nb: 0.000 0.500 0.000
Nb: 0.250 0.250 0.750
Nb: 0.250 0.750 0.250
Nb: 0.500 0.000 0.000
Nb: 0.500 0.500 0.500
Nb: 0.750 0.250 0.250
Nb: 0.750 0.750 0.750
Co: 0.250 0.250 0.250
Co: 0.250 0.750 0.750
Co: 0.750 0.250 0.750
Co: 0.750 0.750 0.250

Its energy of formation from the pure elements is 0.0 eV/f.u. The calculation puts the density at 10992 kg/m3.

---

7.
The following is a DFT calculation (GGA-PBE) of TaNbCo after structural relaxation.

Cell: 5.919 5.919 5.919 Å, 90.00 90.00 90.00°
Atoms (fractional coordinates):
Ta: 0.000 0.000 0.000
Ta: 0.000 0.500 0.500
Ta: 0.500 0.000 0.500
Ta: 0.500 0.500 0.000
Nb: 0.000 0.000 0.500
Nb: 0.000 0.500 0.000
Nb: 0.500 0.000 0.000
Nb: 0.500 0.500 0.500
Co: 0.250 0.250 0.750
Co: 0.250 0.750 0.250
Co: 0.750 0.250 0.250
Co: 0.750 0.750 0.750

Its energy of formation from the pure elements is 0.9 eV/f.u. The energy above the most stable polymorph in this dataset is 0.000 eV/atom. The calculation puts the density at 10657 kg/m3.

---

8.
The following is a DFT calculation (GGA-PBE) of Ta2NbCo after structural relaxation.

Cell: 6.366 6.366 6.366 Å, 90.00 90.00 90.00°
Atoms (fractional coordinates):
Ta: 0.000 0.000 0.000
Ta: 0.000 0.500 0.500
Ta: 0.250 0.250 0.250
Ta: 0.250 0.750 0.750
Ta: 0.500 0.000 0.500
Ta: 0.500 0.500 0.000
Ta: 0.750 0.250 0.750
Ta: 0.750 0.750 0.250
Nb: 0.000 0.000 0.500
Nb: 0.000 0.500 0.000
Nb: 0.500 0.000 0.000
Nb: 0.500 0.500 0.500
Co: 0.250 0.250 0.750
Co: 0.250 0.750 0.250
Co: 0.750 0.250 0.250
Co: 0.750 0.750 0.750

Its energy of formation from the pure elements is 0.2 eV/f.u. The calculation puts the density at 13228 kg/m3.

---

9.
The following is a DFT calculation (GGA-PBE) of Ta4Nb3Co6 after structural relaxation.

Cell: 9.152 9.152 9.152 Å, 31.50 31.50 31.50°
Atoms (fractional coordinates):
Ta: 0.154 0.154 0.154
Ta: 0.334 0.334 0.334
Ta: 0.666 0.666 0.666
Ta: 0.846 0.846 0.846
Nb: 0.049 0.049 0.049
Nb: 0.500 0.500 0.500
Nb: 0.951 0.951 0.951
Co: 0.080 0.592 0.592
Co: 0.408 0.408 0.920
Co: 0.408 0.920 0.408
Co: 0.592 0.080 0.592
Co: 0.592 0.592 0.080
Co: 0.920 0.408 0.408

Its energy of formation from the pure elements is -2.8 eV/f.u. The energy above the most stable polymorph in this dataset is 0.013 eV/atom. The calculation puts the density at 12119 kg/m3.

---

10.
The following is a DFT calculation (GGA-PBE) of TaNb6Co6 after structural relaxation.

Cell: 9.158 9.158 9.158 Å, 31.47 31.47 31.47°
Atoms (fractional coordinates):
Ta: 0.000 0.000 0.000
Nb: 0.166 0.166 0.166
Nb: 0.346 0.346 0.346
Nb: 0.450 0.450 0.450
Nb: 0.550 0.550 0.550
Nb: 0.654 0.654 0.654
Nb: 0.834 0.834 0.834
Co: 0.092 0.092 0.581
Co: 0.092 0.581 0.092
Co: 0.419 0.908 0.908
Co: 0.581 0.092 0.092
Co: 0.908 0.419 0.908
Co: 0.908 0.908 0.419

Its energy of formation from the pure elements is -2.5 eV/f.u. The calculation puts the density at 9757 kg/m3.

---

11.
The following is a DFT calculation (GGA-PBE) of TaNb2Co9 after structural relaxation.

Cell: 6.896 6.896 6.896 Å, 43.84 43.84 43.84°
Atoms (fractional coordinates):
Ta: 0.000 0.000 0.000
Nb: 0.218 0.218 0.218
Nb: 0.782 0.782 0.782
Co: 0.000 0.500 0.500
Co: 0.243 0.713 0.713
Co: 0.287 0.287 0.757
Co: 0.287 0.757 0.287
Co: 0.500 0.000 0.500
Co: 0.500 0.500 0.000
Co: 0.713 0.243 0.713
Co: 0.713 0.713 0.243
Co: 0.757 0.287 0.287

Its energy of formation from the pure elements is -2.2 eV/f.u. The calculation puts the density at 10430 kg/m3.

---

12.
The following is a DFT calculation (GGA-PBE) of Ta4Nb3Co6 after structural relaxation.

Cell: 9.207 9.207 9.207 Å, 31.17 31.17 31.17°
Atoms (fractional coordinates):
Ta: 0.050 0.050 0.050
Ta: 0.154 0.154 0.154
Ta: 0.846 0.846 0.846
Ta: 0.950 0.950 0.950
Nb: 0.334 0.334 0.334
Nb: 0.500 0.500 0.500
Nb: 0.666 0.666 0.666
Co: 0.081 0.592 0.592
Co: 0.408 0.408 0.919
Co: 0.408 0.919 0.408
Co: 0.592 0.081 0.592
Co: 0.592 0.592 0.081
Co: 0.919 0.408 0.408

Its energy of formation from the pure elements is -2.7 eV/f.u. The energy above the most stable polymorph in this dataset is 0.021 eV/atom. The calculation puts the density at 12140 kg/m3.

---

13.
The following is a DFT calculation (GGA-PBE) of Ta4Nb3Co6 after structural relaxation.

Cell: 9.205 9.205 9.205 Å, 31.21 31.21 31.21°
Atoms (fractional coordinates):
Ta: 0.050 0.050 0.050
Ta: 0.334 0.334 0.334
Ta: 0.666 0.666 0.666
Ta: 0.950 0.950 0.950
Nb: 0.154 0.154 0.154
Nb: 0.500 0.500 0.500
Nb: 0.846 0.846 0.846
Co: 0.080 0.591 0.591
Co: 0.409 0.409 0.920
Co: 0.409 0.920 0.409
Co: 0.591 0.080 0.591
Co: 0.591 0.591 0.080
Co: 0.920 0.409 0.409

Its energy of formation from the pure elements is -2.9 eV/f.u. The energy above the most stable polymorph in this dataset is 0.000 eV/atom. The calculation puts the density at 12115 kg/m3.

---

14.
The following is a DFT calculation (GGA-PBE) of TaNbTlCo after structural relaxation.

Cell: 6.534 6.534 6.534 Å, 90.00 90.00 90.00°
Atoms (fractional coordinates):
Ta: 0.000 0.000 0.000
Ta: 0.000 0.500 0.500
Ta: 0.500 0.000 0.500
Ta: 0.500 0.500 0.000
Nb: 0.250 0.250 0.250
Nb: 0.250 0.750 0.750
Nb: 0.750 0.250 0.750
Nb: 0.750 0.750 0.250
Tl: 0.000 0.000 0.500
Tl: 0.000 0.500 0.000
Tl: 0.500 0.000 0.000
Tl: 0.500 0.500 0.500
Co: 0.250 0.250 0.750
Co: 0.250 0.750 0.250
Co: 0.750 0.250 0.250
Co: 0.750 0.750 0.750

The energy above the most stable polymorph in this dataset is 0.000 eV/atom. The calculation puts the density at 12793 kg/m3.

---

15.
The following is a DFT calculation (GGA-PBE) of TaNbZnCo after structural relaxation.

Cell: 6.278 6.278 6.278 Å, 90.00 90.00 90.00°
Atoms (fractional coordinates):
Ta: 0.000 0.000 0.000
Ta: 0.000 0.500 0.500
Ta: 0.500 0.000 0.500
Ta: 0.500 0.500 0.000
Nb: 0.250 0.250 0.250
Nb: 0.250 0.750 0.750
Nb: 0.750 0.250 0.750
Nb: 0.750 0.750 0.250
Zn: 0.000 0.000 0.500
Zn: 0.000 0.500 0.000
Zn: 0.500 0.000 0.000
Zn: 0.500 0.500 0.500
Co: 0.250 0.250 0.750
Co: 0.250 0.750 0.250
Co: 0.750 0.250 0.250
Co: 0.750 0.750 0.750

Its energy of formation from the pure elements is 0.9 eV/f.u. The energy above the most stable polymorph in this dataset is 0.000 eV/atom. The calculation puts the density at 10689 kg/m3.

---

16.
The following is a DFT calculation (GGA-PBE) of NbCo2Tc after structural relaxation.

Cell: 5.985 5.985 5.985 Å, 90.00 90.00 90.00°
Atoms (fractional coordinates):
Nb: 0.000 0.000 0.000
Nb: 0.000 0.500 0.500
Nb: 0.500 0.000 0.500
Nb: 0.500 0.500 0.000
Co: 0.000 0.000 0.500
Co: 0.000 0.500 0.000
Co: 0.250 0.250 0.250
Co: 0.250 0.750 0.750
Co: 0.500 0.000 0.000
Co: 0.500 0.500 0.500
Co: 0.750 0.250 0.750
Co: 0.750 0.750 0.250
Tc: 0.250 0.250 0.750
Tc: 0.250 0.750 0.250
Tc: 0.750 0.250 0.250
Tc: 0.750 0.750 0.750

Its energy of formation from the pure elements is 0.5 eV/f.u. The calculation puts the density at 9567 kg/m3.

---

17.
The following is a DFT calculation (GGA-PBE) of Nb2CoTc after structural relaxation.

Cell: 6.266 6.266 6.266 Å, 90.00 90.00 90.00°
Atoms (fractional coordinates):
Nb: 0.000 0.000 0.000
Nb: 0.000 0.500 0.500
Nb: 0.250 0.250 0.250
Nb: 0.250 0.750 0.750
Nb: 0.500 0.000 0.500
Nb: 0.500 0.500 0.000
Nb: 0.750 0.250 0.750
Nb: 0.750 0.750 0.250
Co: 0.250 0.250 0.750
Co: 0.250 0.750 0.250
Co: 0.750 0.250 0.250
Co: 0.750 0.750 0.750
Tc: 0.000 0.000 0.500
Tc: 0.000 0.500 0.000
Tc: 0.500 0.000 0.000
Tc: 0.500 0.500 0.500

Its energy of formation from the pure elements is 0.2 eV/f.u. The calculation puts the density at 9253 kg/m3.

---

18.
The following is a DFT calculation (GGA-PBE) of NbCoTc after structural relaxation.

Cell: 5.772 5.772 5.772 Å, 90.00 90.00 90.00°
Atoms (fractional coordinates):
Nb: 0.000 0.000 0.000
Nb: 0.000 0.500 0.500
Nb: 0.500 0.000 0.500
Nb: 0.500 0.500 0.000
Co: 0.250 0.250 0.250
Co: 0.250 0.750 0.750
Co: 0.750 0.250 0.750
Co: 0.750 0.750 0.250
Tc: 0.000 0.000 0.500
Tc: 0.000 0.500 0.000
Tc: 0.500 0.000 0.000
Tc: 0.500 0.500 0.500

Its energy of formation from the pure elements is 1.2 eV/f.u. The energy above the most stable polymorph in this dataset is 0.000 eV/atom. The calculation puts the density at 8628 kg/m3.

---

19.
The following is a DFT calculation (GGA-PBE) of NbTlCoTc after structural relaxation.

Cell: 6.362 6.362 6.362 Å, 90.00 90.00 90.00°
Atoms (fractional coordinates):
Nb: 0.000 0.000 0.000
Nb: 0.000 0.500 0.500
Nb: 0.500 0.000 0.500
Nb: 0.500 0.500 0.000
Tl: 0.000 0.000 0.500
Tl: 0.000 0.500 0.000
Tl: 0.500 0.000 0.000
Tl: 0.500 0.500 0.500
Co: 0.250 0.250 0.750
Co: 0.250 0.750 0.250
Co: 0.750 0.250 0.250
Co: 0.750 0.750 0.750
Tc: 0.250 0.250 0.250
Tc: 0.250 0.750 0.750
Tc: 0.750 0.250 0.750
Tc: 0.750 0.750 0.250

The energy above the most stable polymorph in this dataset is 0.000 eV/atom. The calculation puts the density at 11716 kg/m3.

---

20.
The following is a DFT calculation (GGA-PBE) of NbZnCoTc after structural relaxation.

Cell: 6.107 6.107 6.107 Å, 90.00 90.00 90.00°
Atoms (fractional coordinates):
Nb: 0.000 0.000 0.000
Nb: 0.000 0.500 0.500
Nb: 0.500 0.000 0.500
Nb: 0.500 0.500 0.000
Zn: 0.000 0.000 0.500
Zn: 0.000 0.500 0.000
Zn: 0.500 0.000 0.000
Zn: 0.500 0.500 0.500
Co: 0.250 0.250 0.750
Co: 0.250 0.750 0.250
Co: 0.750 0.250 0.250
Co: 0.750 0.750 0.750
Tc: 0.250 0.250 0.250
Tc: 0.250 0.750 0.750
Tc: 0.750 0.250 0.750
Tc: 0.750 0.750 0.250

Its energy of formation from the pure elements is -0.1 eV/f.u. The energy above the most stable polymorph in this dataset is 0.000 eV/atom. The calculation puts the density at 9193 kg/m3.